(1)
Below is Na2CaO4 after structural relaxation, with properties calculated at the PBE level.

E_form (uncorrected)	-1.3896	eV per atom
calculated total energy	-136.8	eV per cell

Lattice parameters (Å, degrees): 7.358 8.223 6.806 90.00 122.51 90.00
Space group Cc (No. 9)
Inequivalent atoms, fractional coordinates:
Na  0.000  0.033  0.000 x4
Na  0.115  0.250  0.400 x4
Ca  0.001  0.379  0.749 x4
O  0.230  0.331  0.168 x4
O  0.240  0.490  0.614 x4
O  0.263  0.167  0.790 x4
O  0.266  0.002  0.382 x4


(2)
Below is Yb3Pd4 after structural relaxation, with properties calculated at the PBE level.

calculated total energy	-183.8	eV per cell
calculated formation energy	-0.76	eV/atom

Lattice parameters (Å, degrees): 13.1762 13.1762 5.7877 90.00 90.00 120.00
Space group R-3 (No. 148, hexagonal axes)
Inequivalent atoms, fractional coordinates:
Yb  0.0429  0.2111  0.2332 x18
Pd  0.0000  0.0000  0.0000 x3
Pd  0.0000  0.0000  0.5000 x3
Pd  0.0525  0.2685  0.7174 x18


(3)
Below is NaCdC2 after structural relaxation, with properties calculated at the PBE level.

calculated total energy	-52.1	eV per cell
calculated formation energy	1.91	eV/atom

Lattice parameters (Å, degrees): 4.079 4.079 15.637 90.00 90.00 90.00
Space group I4_1/amd (No. 141, origin choice 2)
Inequivalent atoms, fractional coordinates:
Na  0.000  0.250  0.375 x4
Cd  0.000  0.250  0.875 x4
C  0.000  0.000  0.000 x8